[1]
Here is a geometry-optimized BeZnCoNi structure from Alexandria. Energies are from PBE.

abc: 3.906 3.906 3.906
angles: 60.00 60.00 60.00
Sites, in units of the cell vectors:
Ni: 0.000 0.000 0.000
Zn: 0.250 0.250 0.250
Co: 0.500 0.500 0.500
Be: 0.750 0.750 0.750

The value obtained for the formation enthalpy at 0 K is -15.68 kJ per mole of atoms. The total DFT energy (no corrections) is -0.1703 hartree per atom. For the volume, the calculation gives 42.2 Å³/cell.

[2]
Here is a geometry-optimized Np2BeCo3P4 structure from Alexandria. Energies are from PBE.

abc: 3.932 3.932 8.928
angles: 90.00 90.00 90.00
Last column: magnetic moment on the atom in μB.
Sites, in units of the cell vectors:
Np: 0.500 0.000 0.250  3.39
Np: 0.000 0.500 0.750  3.39
Be: 0.500 0.500 0.500  0.01
Co: 0.000 0.000 0.500  -0.55
Co: 0.500 0.000 0.887  -0.07
Co: 0.000 0.500 0.113  -0.07
P: 0.500 0.500 0.000  -0.03
P: 0.000 0.000 0.000  -0.03
P: 0.500 0.000 0.636  -0.04
P: 0.000 0.500 0.364  -0.04

The value obtained for the formation enthalpy at 0 K is -65.80 kJ per mole of atoms. The total DFT energy (no corrections) is -0.2917 hartree per atom. For the volume, the calculation gives 138.0 Å³/cell.

[3]
Here is a geometry-optimized Np2Be4CoSi3 structure from Alexandria. Energies are from PBE.

abc: 3.804 3.804 9.483
angles: 90.00 90.00 90.00
Last column: magnetic moment on the atom in μB.
Sites, in units of the cell vectors:
Np: 0.500 0.000 0.256  3.58
Np: 0.000 0.500 0.744  3.58
Be: 0.500 0.500 0.000  0.00
Be: 0.000 0.000 0.000  0.00
Be: 0.500 0.000 0.626  0.01
Be: 0.000 0.500 0.374  0.01
Co: 0.500 0.500 0.500  -0.65
Si: 0.000 0.000 0.500  -0.04
Si: 0.500 0.000 0.864  -0.05
Si: 0.000 0.500 0.136  -0.05

The total DFT energy (no corrections) is -0.2432 hartree per atom. For the uncorrected formation energy, the calculation gives -0.201 eV per atom. For the volume, the calculation gives 137.3 Å³/cell.